SmPaAs (PBE-GGA, relaxed); density of states at the Fermi level = 1.458 states/eV per atom; excess energy over the best structure of this formula in the dataset = 0 meV/atom
1.0
5.789 0.000 0.000
0.000 3.962 0.000
-2.728 0.000 7.157
Sm Pa As
2 2 2
direct
0.221 0.250 0.440
0.779 0.750 0.560
0.346 0.750 0.088
0.654 0.250 0.912
0.104 0.250 0.807
0.896 0.750 0.193